This record from the Alexandria database describes an optimized crystal structure of ScNiAgHg. The functional is PBE-GGA.

```
ScNiAgHg
1.0
4.633 0.000 0.000
2.316 4.012 0.000
2.316 1.337 3.783
Sc Ni Hg Ag
1 1 1 1
direct
0.000 0.000 0.000 Sc
0.250 0.250 0.250 Ni
0.500 0.500 0.500 Hg
0.750 0.750 0.750 Ag
```

Calculated values
- Energy relative to the elements: -0.175 eV per atom
- DOS(E_F): 2.1 states/eV per cell